A:
# PBE Hf2V3Ge4, optimized geometry
# V (Å³ per cell): 588.3
# Density of states at the Fermi level (states/eV/atom): 0.562
data_Hf2V3Ge4
_chemical_formula_sum 'Hf8 V12 Ge16'
_symmetry_space_group_name_H-M 'C m c e'
_symmetry_Int_Tables_number 64
_symmetry_space_group_name_Hall '-C 2ac 2'
_cell_length_a 5.387
_cell_length_b 14.203
_cell_length_c 7.689
_cell_angle_alpha 90.00
_cell_angle_beta 90.00
_cell_angle_gamma 90.00
loop_
_atom_site_label
_atom_site_fract_x
_atom_site_fract_y
_atom_site_fract_z
Hf1 0.000 0.121 0.081
V1 0.000 0.000 0.500
V2 0.250 0.200 0.750
Ge1 0.000 0.191 0.451
Ge2 0.250 0.027 0.750

***

B:
# PBE Hf2V3Ge4, optimized geometry
# V (Å³ per cell): 284.1
# Density of states at the Fermi level (states/eV/atom): 0.474
data_Hf2V3Ge4
_chemical_formula_sum 'Hf4 V6 Ge8'
_symmetry_space_group_name_H-M 'P 1 21/c 1'
_symmetry_Int_Tables_number 14
_cell_length_a 6.742
_cell_length_b 6.744
_cell_length_c 6.647
_cell_angle_alpha 90.00
_cell_angle_beta 109.94
_cell_angle_gamma 90.00
loop_
_symmetry_equiv_pos_as_xyz
'x,y,z'
'-x,-y,-z'
'-x,y+1/2,-z+1/2'
'x,-y+1/2,z+1/2'
loop_
_atom_site_label
_atom_site_fract_x
_atom_site_fract_y
_atom_site_fract_z
Hf1 0.187 0.171 0.052
V1 0.250 0.665 0.246
V2 0.500 0.000 0.500
Ge1 0.085 0.543 0.851
Ge2 0.499 0.135 0.863

***

Of them, the most stable is B and the least stable is A.

***

A:
# PBE Hf3GeW, optimized geometry
# V (Å³ per cell): 128.5
# Density of states at the Fermi level (states/eV/atom): 1.977
data_Hf3GeW
_chemical_formula_sum 'Hf3 Ge1 W1'
_symmetry_space_group_name_H-M 'P m -3 m'
_symmetry_Int_Tables_number 221
_symmetry_space_group_name_Hall '-P 4 2 3'
_cell_length_a 5.046
_cell_length_b 5.046
_cell_length_c 5.046
_cell_angle_alpha 90.00
_cell_angle_beta 90.00
_cell_angle_gamma 90.00
loop_
_atom_site_label
_atom_site_fract_x
_atom_site_fract_y
_atom_site_fract_z
Hf1 0.000 0.000 0.500
Ge1 0.500 0.500 0.500
W1 0.000 0.000 0.000

***

B:
# PBE Hf3GeW, optimized geometry
# V (Å³ per cell): 114.8
# Density of states at the Fermi level (states/eV/atom): 0.521
data_Hf3GeW
_chemical_formula_sum 'Hf3 Ge1 W1'
_symmetry_space_group_name_H-M 'P m -3 m'
_symmetry_Int_Tables_number 221
_symmetry_space_group_name_Hall '-P 4 2 3'
_cell_length_a 4.860
_cell_length_b 4.860
_cell_length_c 4.860
_cell_angle_alpha 90.00
_cell_angle_beta 90.00
_cell_angle_gamma 90.00
loop_
_atom_site_label
_atom_site_fract_x
_atom_site_fract_y
_atom_site_fract_z
Hf1 0.000 0.000 0.500
Ge1 0.000 0.000 0.000
W1 0.500 0.500 0.500

***

Of them, the most stable is B and the least stable is A.

***

A:
# PBE HfGeW3, optimized geometry
# V (Å³ per cell): 112.8
# Density of states at the Fermi level (states/eV/atom): 0.796
data_HfGeW3
_chemical_formula_sum 'Hf1 Ge1 W3'
_symmetry_space_group_name_H-M 'P m -3 m'
_symmetry_Int_Tables_number 221
_symmetry_space_group_name_Hall '-P 4 2 3'
_cell_length_a 4.832
_cell_length_b 4.832
_cell_length_c 4.832
_cell_angle_alpha 90.00
_cell_angle_beta 90.00
_cell_angle_gamma 90.00
loop_
_atom_site_label
_atom_site_fract_x
_atom_site_fract_y
_atom_site_fract_z
Hf1 0.000 0.000 0.000
Ge1 0.500 0.500 0.500
W1 0.000 0.000 0.500

***

B:
# PBE HfGeW3, optimized geometry
# V (Å³ per cell): 98.5
# Density of states at the Fermi level (states/eV/atom): 0.845
data_HfGeW3
_chemical_formula_sum 'Hf1 Ge1 W3'
_symmetry_space_group_name_H-M 'P m -3 m'
_symmetry_Int_Tables_number 221
_symmetry_space_group_name_Hall '-P 4 2 3'
_cell_length_a 4.618
_cell_length_b 4.618
_cell_length_c 4.618
_cell_angle_alpha 90.00
_cell_angle_beta 90.00
_cell_angle_gamma 90.00
loop_
_atom_site_label
_atom_site_fract_x
_atom_site_fract_y
_atom_site_fract_z
Hf1 0.000 0.000 0.000
Ge1 0.500 0.500 0.500
W1 0.000 0.500 0.500

***

Of them, the most stable is B and the least stable is A.